1.
## PaV2PdO8 (GGA+U)

Data for a geometry-optimized PaV2PdO8 structure.

a b c (Å): 5.999 5.999 5.999
angles (deg): 106.78 106.78 115.01
Site moments in Bohr magnetons follow the coordinates.
Atoms (fractional coordinates):
Pa  0.250  0.750  0.500  0.00
V  0.750  0.250  0.500  0.10
V  0.500  0.500  0.000  0.01
Pd  0.000  0.000  0.000  0.78
O  0.384  0.066  0.318  0.03
O  0.353  0.558  0.204  0.00
O  0.353  0.149  0.796  0.00
O  0.748  0.066  0.682  0.03
O  0.851  0.647  0.204  0.00
O  0.934  0.252  0.318  0.03
O  0.934  0.616  0.682  0.03
O  0.442  0.647  0.796  0.00

Values from the calculation:
Raw total energy ... -7.7710 eV per atom


2.
## PaVPd2O8 (GGA+U)

Data for a geometry-optimized PaVPd2O8 structure.

a b c (Å): 5.838 5.838 5.838
angles (deg): 110.65 110.65 107.14
Site moments in Bohr magnetons follow the coordinates.
Atoms (fractional coordinates):
Pa  0.000  0.000  0.000  0.02
V  0.250  0.750  0.500  0.18
Pd  0.750  0.250  0.500  0.11
Pd  0.500  0.500  0.000  0.79
O  0.345  0.014  0.331  0.02
O  0.283  0.487  0.204  0.11
O  0.283  0.078  0.796  0.11
O  0.683  0.014  0.669  0.02
O  0.922  0.717  0.204  0.11
O  0.986  0.317  0.331  0.02
O  0.986  0.655  0.669  0.02
O  0.513  0.717  0.796  0.11

Values from the calculation:
Raw total energy ... -6.8889 eV per atom


3.
## PaVPdO6 (GGA+U)

Data for a geometry-optimized PaVPdO6 structure.

a b c (Å): 5.448 5.448 8.864
angles (deg): 90.00 90.00 120.00
Site moments in Bohr magnetons follow the coordinates.
Atoms (fractional coordinates):
Pa  0.333  0.667  0.250  0.07
Pa  0.667  0.333  0.750  0.07
V  0.667  0.333  0.250  0.27
V  0.333  0.667  0.750  0.27
Pd  0.000  0.000  0.000  1.19
Pd  0.000  0.000  0.500  1.19
O  0.664  0.627  0.133  0.06
O  0.964  0.336  0.133  0.06
O  0.336  0.964  0.633  0.06
O  0.036  0.664  0.867  0.06
O  0.373  0.336  0.367  0.06
O  0.964  0.627  0.367  0.06
O  0.627  0.964  0.867  0.06
O  0.664  0.036  0.367  0.06
O  0.036  0.373  0.633  0.06
O  0.373  0.036  0.133  0.06
O  0.627  0.664  0.633  0.06
O  0.336  0.373  0.867  0.06

Values from the calculation:
Raw total energy ... -7.7511 eV per atom


| no. | volume (Å³ per atom) |
| --- | --- |
| 1 | 13.751 |
| 2 | 12.750 |
| 3 | 12.657 |